First-principles (PBE) data for crystalline Tl2Ag2PdCl6 at its relaxed geometry, as listed in the Alexandria database.

Results
* mass density: 5.22 g cm⁻³
* total DFT energy (no corrections): -0.1134 Ha/atom
* calculated volume: 300.05 Å³/cell
* magnetic moment: 0.000 μB per atom
* formation energy without anion corrections: -0.66 eV/atom
* crystal system: monoclinic

Unit cell a=8.476 b=8.476 c=5.575 alpha=96.28 beta=96.28 gamma=48.98
Atoms (fractional coordinates):
Tl: 0.195 0.195 0.223
Tl: 0.805 0.805 0.777
Ag: 0.457 0.457 0.743
Ag: 0.543 0.543 0.257
Pd: 0.000 0.000 0.500
Cl: 0.157 0.694 0.260
Cl: 0.298 0.298 0.762
Cl: 0.306 0.843 0.740
Cl: 0.694 0.157 0.260
Cl: 0.702 0.702 0.238
Cl: 0.843 0.306 0.740